*P*
Material: B5C7
Method: DFT, PBE
State: optimized geometry

a = 4.724 Å, b = 2.548 Å, c = 6.565 Å
α = 90.00°, β = 97.95°, γ = 90.00°
Fractional coordinates of all 12 atoms:
B (0.000, 0.000, 0.000)
B (0.012, 0.000, 0.285)
B (0.272, 0.000, 0.561)
B (0.347, 0.000, 0.268)
B (0.773, 0.500, 0.354)
C (0.103, 0.500, 0.669)
C (0.172, 0.500, 0.893)
C (0.495, 0.500, 0.208)
C (0.495, 0.500, 0.975)
C (0.627, 0.000, 0.664)
C (0.647, 0.000, 0.905)
C (0.779, 0.500, 0.595)

The total moment comes out at 0.000 μB/atom. Its crystal system is monoclinic. Its volume is 78.3 Å³/cell.

---

*Q*
Material: B5C7
Method: DFT, PBE
State: optimized geometry

a = 3.975 Å, b = 2.512 Å, c = 7.968 Å
α = 90.00°, β = 90.16°, γ = 90.00°
Fractional coordinates of all 12 atoms:
B (0.000, 0.000, 0.000)
B (0.022, 0.000, 0.289)
B (0.267, 0.000, 0.762)
B (0.521, 0.500, 0.456)
B (0.565, 0.500, 0.798)
C (0.243, 0.000, 0.465)
C (0.298, 0.000, 0.125)
C (0.519, 0.500, 0.130)
C (0.741, 0.500, 0.289)
C (0.761, 0.500, 0.970)
C (0.779, 0.500, 0.623)
C (0.998, 0.000, 0.614)

The total moment comes out at 0.000 μB/atom. Its crystal system is monoclinic. Its volume is 79.6 Å³/cell.

---

Stability verdict: *P*, ahead by 1.5 kJ/mol of atoms